Record 1
Below is VBSN2 after structural relaxation, with properties calculated at the PBE level.

Fermi-level density of states = 2.90 states/eV per cell
polymorph energy (0 for the lowest one) = 209 meV/atom
formation energy from raw total energies = 1.060 eV/atom
total energy = -6.255 eV/atom

a b c (Å): 3.6353 3.6353 5.1004
angles (deg): 90.00 90.00 90.00
With the nearest neighbours (Å) after each atom.
Positions (direct):
1 V 0.0000 0.0000 0.0000  4 N 1.82
2 B 0.5000 0.5000 0.5000  4 S 2.57
3 S 0.0000 0.0000 0.5000  2 V 2.55, 4 B 2.57
4 N 0.0000 0.5000 0.0000  2 V 1.82
5 N 0.5000 0.0000 0.0000  2 V 1.82

=====

Record 2
Below is Tm4ZnBi after structural relaxation, with properties calculated at the PBE level.

energy of formation = -0.333 eV/atom
Fermi-level density of states = 21.26 states/eV per cell
polymorph energy (0 for the lowest one) = 0 meV/atom
total energy = -4.174 eV/atom

a b c (Å): 9.7530 9.7530 9.7530
angles (deg): 60.00 60.00 60.00
With the nearest neighbours (Å) after each atom.
Positions (direct):
1 Tm 0.0601 0.0601 0.4399  2 Bi 3.06
2 Tm 0.0601 0.4399 0.0601  2 Bi 3.06
3 Tm 0.0601 0.4399 0.4399  2 Bi 3.06
4 Tm 0.0985 0.6338 0.6338  3 Zn 2.97, 3 Bi 3.25
5 Tm 0.1837 0.1837 0.8163  2 Zn 3.01
6 Tm 0.1837 0.8163 0.1837  2 Zn 3.01
7 Tm 0.1837 0.8163 0.8163  2 Zn 3.01
8 Tm 0.4399 0.0601 0.0601  2 Bi 3.06
9 Tm 0.4399 0.0601 0.4399  2 Bi 3.06
10 Tm 0.4399 0.4399 0.0601  2 Bi 3.06
11 Tm 0.6338 0.0985 0.6338  3 Zn 2.97, 3 Bi 3.25
12 Tm 0.6338 0.6338 0.0985  3 Zn 2.97, 3 Bi 3.25
13 Tm 0.6338 0.6338 0.6338  3 Zn 2.97, 3 Bi 3.25
14 Tm 0.8163 0.1837 0.1837  2 Zn 3.01
15 Tm 0.8163 0.1837 0.8163  2 Zn 3.01
16 Tm 0.8163 0.8163 0.1837  2 Zn 3.01
17 Zn 0.4582 0.8473 0.8473  6 Tm 2.97-3.01
18 Zn 0.8473 0.4582 0.8473  6 Tm 2.97-3.01
19 Zn 0.8473 0.8473 0.4582  6 Tm 2.97-3.01
20 Zn 0.8473 0.8473 0.8473  6 Tm 2.97-3.01
21 Bi 0.4049 0.4049 0.4049  6 Tm 3.06-3.25
22 Bi 0.4049 0.4049 0.7853  6 Tm 3.06-3.25
23 Bi 0.4049 0.7853 0.4049  6 Tm 3.06-3.25
24 Bi 0.7853 0.4049 0.4049  6 Tm 3.06-3.25

=====

Record 3
Below is Sm7Hg3 after structural relaxation, with properties calculated at the PBE level.

energy of formation = -0.241 eV/atom
Fermi-level density of states = 24.88 states/eV per cell
total energy = -3.635 eV/atom

a b c (Å): 10.4310 10.4310 6.6061
angles (deg): 90.00 90.00 120.00
With the nearest neighbours (Å) after each atom.
Positions (direct):
1 Sm 0.0641 0.5320 0.0000  4 Hg 3.11-3.47
2 Sm 0.1273 0.2545 0.7343  3 Hg 3.14-3.19
3 Sm 0.1273 0.8727 0.7343  3 Hg 3.14-3.19
4 Sm 0.2545 0.1273 0.2343  3 Hg 3.14-3.19
5 Sm 0.3333 0.6667 0.5808  3 Hg 3.13
6 Sm 0.4680 0.5320 0.0000  4 Hg 3.11-3.47
7 Sm 0.4680 0.9359 0.0000  4 Hg 3.11-3.47
8 Sm 0.5320 0.0641 0.5000  4 Hg 3.11-3.47
9 Sm 0.5320 0.4680 0.5000  4 Hg 3.11-3.47
10 Sm 0.6667 0.3333 0.0808  3 Hg 3.13
11 Sm 0.7455 0.8727 0.7343  3 Hg 3.14-3.19
12 Sm 0.8727 0.1273 0.2343  3 Hg 3.14-3.19
13 Sm 0.8727 0.7455 0.2343  3 Hg 3.14-3.19
14 Sm 0.9359 0.4680 0.5000  4 Hg 3.11-3.47
15 Hg 0.1965 0.3929 0.2898  8 Sm 3.11-3.47
16 Hg 0.1965 0.8035 0.2898  8 Sm 3.11-3.47
17 Hg 0.3929 0.1965 0.7898  8 Sm 3.11-3.47
18 Hg 0.6071 0.8035 0.2898  8 Sm 3.11-3.47
19 Hg 0.8035 0.1965 0.7898  8 Sm 3.11-3.47
20 Hg 0.8035 0.6071 0.7898  8 Sm 3.11-3.47

=====

Record 4
Below is TbIn2I5 after structural relaxation, with properties calculated at the PBE level.

Fermi-level density of states = 0.00 states/eV per cell
formation energy from raw total energies = -0.917 eV/atom
total energy = -3.149 eV/atom

a b c (Å): 14.0404 9.6297 9.2921
angles (deg): 90.00 90.00 90.00
With the nearest neighbours (Å) after each atom.
Positions (direct):
1 Tb 0.0052 0.2500 0.0800  7 I 3.07-3.21
2 Tb 0.4948 0.7500 0.5800  7 I 3.07-3.21
3 Tb 0.5052 0.2500 0.4200  7 I 3.07-3.21
4 Tb 0.9948 0.7500 0.9200  7 I 3.07-3.21
5 In 0.1734 0.9996 0.5804  7 I 3.46-3.84
6 In 0.1734 0.5004 0.5804  7 I 3.46-3.84
7 In 0.3266 0.0004 0.0804  7 I 3.46-3.84
8 In 0.3266 0.4996 0.0804  7 I 3.46-3.84
9 In 0.6734 0.9996 0.9196  7 I 3.46-3.84
10 In 0.6734 0.5004 0.9196  7 I 3.46-3.84
11 In 0.8266 0.0004 0.4196  7 I 3.46-3.84
12 In 0.8266 0.4996 0.4196  7 I 3.46-3.84
13 I 0.0034 0.2500 0.4251  1 Tb 3.21, 2 In 3.46
14 I 0.0678 0.5480 0.1718  2 Tb 3.12-3.21
15 I 0.0678 0.9520 0.1718  2 Tb 3.12-3.21
16 I 0.1927 0.2500 0.9014  1 Tb 3.11, 2 In 3.48
17 I 0.2089 0.7500 0.8509  1 Tb 3.07
18 I 0.2911 0.2500 0.3509  1 Tb 3.07
19 I 0.3073 0.7500 0.4014  1 Tb 3.11, 2 In 3.48
20 I 0.4322 0.0480 0.6718  2 Tb 3.12-3.21
21 I 0.4322 0.4520 0.6718  2 Tb 3.12-3.21
22 I 0.4966 0.7500 0.9251  1 Tb 3.21, 2 In 3.46
23 I 0.5034 0.2500 0.0749  1 Tb 3.21, 2 In 3.46
24 I 0.5678 0.5480 0.3282  2 Tb 3.12-3.21
25 I 0.5678 0.9520 0.3282  2 Tb 3.12-3.21
26 I 0.6927 0.2500 0.5986  1 Tb 3.11, 2 In 3.48
27 I 0.7089 0.7500 0.6491  1 Tb 3.07
28 I 0.7911 0.2500 0.1491  1 Tb 3.07
29 I 0.8073 0.7500 0.0986  1 Tb 3.11, 2 In 3.48
30 I 0.9322 0.0480 0.8282  2 Tb 3.12-3.21
31 I 0.9322 0.4520 0.8282  2 Tb 3.12-3.21
32 I 0.9966 0.7500 0.5749  1 Tb 3.21, 2 In 3.46

=====

Record 5
Below is Na2HgGeAu after structural relaxation, with properties calculated at the PBE level.

energy of formation = -0.066 eV/atom
Fermi-level density of states = 2.43 states/eV per cell
total energy = -2.233 eV/atom

a b c (Å): 5.7552 5.7552 4.7026
angles (deg): 90.00 90.00 90.00
With the nearest neighbours (Å) after each atom.
Positions (direct):
1 Na 0.0000 0.5000 0.0000  2 Au 2.88
2 Na 0.5000 0.0000 0.0000  2 Au 2.88
3 Hg 0.0000 0.0000 0.5000  8 Na 3.72, 4 Ge 4.07
4 Ge 0.5000 0.5000 0.5000  2 Au 2.35
5 Au 0.5000 0.5000 0.0000  2 Ge 2.35

=====

Record 6
Below is BaLaMo2 after structural relaxation, with properties calculated at the PBE level.

energy of formation = 0.491 eV/atom
Fermi-level density of states = 7.47 states/eV per cell
polymorph energy (0 for the lowest one) = 7 meV/atom
total energy = -6.637 eV/atom

a b c (Å): 3.3731 3.3731 9.6101
angles (deg): 90.00 90.00 90.00
With the nearest neighbours (Å) after each atom.
Positions (direct):
1 Ba 0.0000 0.0000 0.0000  4 Ba 3.37, 5 Mo 3.48-3.74
2 La 0.5000 0.5000 0.3892  5 Mo 3.20-3.34, 4 La 3.37
3 Mo 0.0000 0.0000 0.6107  4 Mo 2.67
4 Mo 0.5000 0.5000 0.7366  4 Mo 2.67

=====

Record 7
Below is Sc5HgPd4 after structural relaxation, with properties calculated at the PBE level.

energy of formation = -0.799 eV/atom
Fermi-level density of states = 7.56 states/eV per cell
total energy = -6.072 eV/atom

a b c (Å): 3.3101 3.3101 17.2215
angles (deg): 90.00 90.00 90.00
With the nearest neighbours (Å) after each atom.
Positions (direct):
1 Sc 0.0000 0.0000 0.0000  8 Pd 2.87
2 Sc 0.0000 0.0000 0.1930  8 Pd 2.87-2.89
3 Sc 0.0000 0.0000 0.3849  4 Pd 2.84, 4 Hg 3.07
4 Sc 0.0000 0.0000 0.6151  4 Pd 2.84, 4 Hg 3.07
5 Sc 0.0000 0.0000 0.8070  8 Pd 2.87-2.89
6 Hg 0.5000 0.5000 0.5000  8 Sc 3.07, 4 Hg 3.31
7 Pd 0.5000 0.5000 0.0967  8 Sc 2.87
8 Pd 0.5000 0.5000 0.2910  8 Sc 2.84-2.89
9 Pd 0.5000 0.5000 0.7090  8 Sc 2.84-2.89
10 Pd 0.5000 0.5000 0.9033  8 Sc 2.87

=====

Record 8
Below is SrRh2 after structural relaxation, with properties calculated at the PBE level.

energy of formation = 0.075 eV/atom
Fermi-level density of states = 9.10 states/eV per cell
total energy = -5.386 eV/atom

a b c (Å): 10.5639 10.5639 3.8596
angles (deg): 90.00 90.00 159.00
With the nearest neighbours (Å) after each atom.
Positions (direct):
1 Sr 0.1597 0.8403 0.7500  4 Rh 3.08-3.09
2 Sr 0.8403 0.1597 0.2500  4 Rh 3.08-3.09
3 Rh 0.0440 0.9560 0.2500  8 Rh 2.64-2.73
4 Rh 0.4569 0.5431 0.2500  8 Rh 2.63-2.73
5 Rh 0.5431 0.4569 0.7500  8 Rh 2.63-2.73
6 Rh 0.9560 0.0440 0.7500  8 Rh 2.64-2.73